Record 1
The following is a PBE calculation of a relaxed InTeAs2 crystal, from Alexandria.

POSCAR file:
```
InTeAs2
1.0
7.496 -1.780 0.000
7.496 1.780 0.000
-1.143 0.000 4.138
In Te As
1 1 2
Direct
0.000 0.000 0.000 In
0.191 0.191 0.926 Te
0.430 0.430 0.440 As
0.798 0.798 0.398 As
```

Results
DOS at the Fermi energy: 1.4 states/eV/cell
VASP energy: -3.6687 eV per atom

***

Record 2
The following is a PBE calculation of a relaxed LaScCl2 crystal, from Alexandria.

POSCAR file:
```
LaScCl2
1.0
-1.726 3.136 4.547
1.726 -3.136 4.547
1.726 3.136 -4.547
La Sc Cl
1 1 2
Direct
0.000 0.000 0.000 La
0.500 0.500 0.000 Sc
0.273 0.773 0.500 Cl
0.727 0.227 0.500 Cl
```

Results
DOS at the Fermi energy: 3.0 states/eV/cell
VASP energy: -4.9420 eV per atom

***

Number 1: raw formation energy 0.126 eV per atom, calculated volume 110 Å³/cell. Number 2: raw formation energy -1.204 eV per atom, calculated volume 98 Å³/cell.